Material: NpPaFeCo
Method: DFT, GGA-PBE
State: optimized geometry

Cell: 6.3271 6.3271 6.3271 Å, 90.00 90.00 90.00°
Space group F-43m (No. 216)
Unique sites:
Np (0.0000, 0.0000, 0.0000) x4
Pa (0.2500, 0.2500, 0.2500) x4
Fe (0.0000, 0.0000, 0.5000) x4
Co (0.2500, 0.2500, 0.7500) x4

Summary:
**Mass density**: 15.28 Mg/m³
**N(E_F)**: 23.301 states/eV per cell
**E_tot**: -153.442 eV per cell